# Li2Tl3RuO6

A relaxed structure of Li2Tl3RuO6 (GGA-PBE, Alexandria via LeMat-Bulk).

Structure (POSCAR):
```
Li2Tl3RuO6
1.0
5.844 -0.076 0.196
-2.986 5.023 0.196
-0.748 -1.295 5.797
Li Tl Ru O
2 3 1 6
Direct
0.294 0.706 0.000
0.706 0.294 0.000
0.174 0.826 0.500
0.826 0.174 0.500
0.500 0.500 0.500
0.000 0.000 0.000
0.928 0.656 0.844
0.826 0.826 0.254
0.072 0.344 0.156
0.656 0.928 0.844
0.174 0.174 0.746
0.344 0.072 0.156
```

Magnetization in μB per cell: 1.141
ΔE_f (raw) in meV/atom: -972
SG: C2/m, No. 12

***

# Pr2CrTc2N6

A relaxed structure of Pr2CrTc2N6 (GGA-PBE, Alexandria via LeMat-Bulk).

Structure (POSCAR):
```
Pr2CrTc2N6
1.0
5.878 0.000 0.000
2.939 5.090 0.000
2.939 1.697 5.282
Pr Cr Tc N
2 1 2 6
Direct
0.794 0.794 0.619
0.206 0.206 0.381
0.000 0.000 0.000
0.428 0.428 0.715
0.572 0.572 0.285
0.769 0.769 0.234
0.228 0.769 0.234
0.769 0.228 0.234
0.231 0.772 0.766
0.772 0.231 0.766
0.231 0.231 0.766
```

Magnetization in μB per cell: 2.038
ΔE_f (raw) in meV/atom: -346
SG: R-3m, No. 166

***

# Na3Np2CrSe6

A relaxed structure of Na3Np2CrSe6 (GGA-PBE, Alexandria via LeMat-Bulk).

Structure (POSCAR):
```
Na3Np2CrSe6
1.0
-5.131 4.035 -2.628
-0.556 -7.010 -0.244
-1.260 1.027 7.178
Na Np Cr Se
3 2 1 6
Direct
0.168 0.832 0.500
0.832 0.168 0.500
0.500 0.500 0.500
0.333 0.667 0.000
0.667 0.333 0.000
0.000 0.000 0.000
0.925 0.608 0.776
0.757 0.757 0.222
0.075 0.392 0.224
0.608 0.925 0.776
0.243 0.243 0.778
0.392 0.075 0.224
```

Magnetization in μB per cell: 11.000
ΔE_f (raw) in meV/atom: -1054
SG: C2/m, No. 12

***

# CsNaAg2

A relaxed structure of CsNaAg2 (GGA-PBE, Alexandria via LeMat-Bulk).

Structure (POSCAR):
```
CsNaAg2
1.0
-2.265 5.022 -1.024
-4.407 -2.479 -2.414
-8.165 0.957 7.422
Cs Na Ag
2 2 4
Direct
0.000 0.000 0.000
0.750 0.250 0.500
0.500 0.500 0.000
0.250 0.750 0.500
0.374 0.125 0.250
0.376 0.625 0.250
0.375 0.626 0.750
0.875 0.624 0.750
```

Magnetization in μB per cell: 0.000
Energy relative to the lowest polymorph listed for this composition in eV/atom: 0.086
ΔE_f in eV/f.u.: 0.45
SG: I4_1/amd, No. 141

***

# SrLa3W

A relaxed structure of SrLa3W (GGA-PBE, Alexandria via LeMat-Bulk).

Structure (POSCAR):
```
SrLa3W
1.0
-5.357 1.369 -1.674
0.377 -3.812 -4.324
-2.129 -4.119 3.445
Sr W La
1 1 3
Direct
0.500 0.500 0.500
0.000 0.000 0.000
0.000 0.500 0.000
0.000 0.000 0.500
0.500 0.000 0.000
```

Magnetization in μB per cell: 0.000
Energy relative to the lowest polymorph listed for this composition in eV/atom: 0.000
ΔE_f in eV/f.u.: 1.85
SG: Pm-3m, No. 221

***

# PuGaAgIr

A relaxed structure of PuGaAgIr (GGA-PBE, Alexandria via LeMat-Bulk).

Structure (POSCAR):
```
PuGaAgIr
1.0
-0.626 -3.200 -3.462
3.769 -2.032 -2.070
0.966 -4.588 0.799
Ir Ga Ag Pu
1 1 1 1
Direct
0.750 0.750 0.750
0.500 0.500 0.500
0.250 0.250 0.250
0.000 0.000 0.000
```

Magnetization in μB per cell: 4.984
ΔE_f in eV/f.u.: -0.44
SG: F-43m, No. 216

***

magnetization of number 5 (SrLa3W)?
0.000 μB per cell

***

Look up the magnetization of the first one.
1.141 μB per cell

***

Look up the magnetization of the sixth one.
4.984 μB per cell